Er12H5Pb3: relaxed, GGA-PBE.

Unit cell a=13.4572 b=13.4572 c=13.4572 alpha=109.47 beta=109.47 gamma=109.47
Positions (direct):
Er1 0.0094 0.2029 0.1066
Er2 0.0094 0.3065 0.9027
Er3 0.0963 0.7029 0.6935
Er4 0.0963 0.8934 0.4027
Er5 0.0973 0.6066 0.4037
Er6 0.0973 0.9906 0.6935
Er7 0.1066 0.0094 0.2029
Er8 0.1066 0.5973 0.9037
Er9 0.1935 0.2029 0.5963
Er10 0.1935 0.4906 0.5973
Er11 0.2029 0.1066 0.0094
Er12 0.2029 0.5963 0.1935
Er13 0.2971 0.3065 0.9037
Er14 0.2971 0.4906 0.3934
Er15 0.3065 0.9027 0.0094
Er16 0.3065 0.9037 0.2971
Er17 0.3934 0.2971 0.4906
Er18 0.3934 0.5963 0.9027
Er19 0.4027 0.0963 0.8934
Er20 0.4027 0.8065 0.5094
Er21 0.4037 0.0973 0.6066
Er22 0.4037 0.8065 0.7971
Er23 0.4906 0.3934 0.2971
Er24 0.4906 0.5973 0.1935
Er25 0.5094 0.4027 0.8065
Er26 0.5094 0.6066 0.7029
Er27 0.5963 0.1935 0.2029
Er28 0.5963 0.9027 0.3934
Er29 0.5973 0.1935 0.4906
Er30 0.5973 0.9037 0.1066
Er31 0.6066 0.4037 0.0973
Er32 0.6066 0.7029 0.5094
Er33 0.6935 0.0963 0.7029
Er34 0.6935 0.0973 0.9906
Er35 0.7029 0.5094 0.6066
Er36 0.7029 0.6935 0.0963
Er37 0.7971 0.4037 0.8065
Er38 0.7971 0.8934 0.9906
Er39 0.8065 0.5094 0.4027
Er40 0.8065 0.7971 0.4037
Er41 0.8934 0.4027 0.0963
Er42 0.8934 0.9906 0.7971
Er43 0.9027 0.0094 0.3065
Er44 0.9027 0.3934 0.5963
Er45 0.9037 0.1066 0.5973
Er46 0.9037 0.2971 0.3065
Er47 0.9906 0.6935 0.0973
Er48 0.9906 0.7971 0.8934
H1 0.0000 0.0000 0.0000
H2 0.0000 0.0000 0.5000
H3 0.0000 0.5000 0.0000
H4 0.0000 0.5000 0.5000
H5 0.1250 0.7500 0.8750
H6 0.1250 0.8750 0.2500
H7 0.2500 0.1250 0.8750
H8 0.2500 0.6250 0.3750
H9 0.3750 0.2500 0.6250
H10 0.3750 0.6250 0.7500
H11 0.5000 0.0000 0.0000
H12 0.5000 0.0000 0.5000
H13 0.5000 0.5000 0.0000
H14 0.5000 0.5000 0.5000
H15 0.6250 0.3750 0.2500
H16 0.6250 0.7500 0.3750
H17 0.7500 0.3750 0.6250
H18 0.7500 0.8750 0.1250
H19 0.8750 0.1250 0.7500
H20 0.8750 0.2500 0.1250
Pb1 0.1250 0.2500 0.3750
Pb2 0.1250 0.3750 0.7500
Pb3 0.2500 0.3750 0.1250
Pb4 0.2500 0.8750 0.6250
Pb5 0.3750 0.1250 0.2500
Pb6 0.3750 0.7500 0.1250
Pb7 0.6250 0.2500 0.8750
Pb8 0.6250 0.8750 0.7500
Pb9 0.7500 0.1250 0.3750
Pb10 0.7500 0.6250 0.8750
Pb11 0.8750 0.6250 0.2500
Pb12 0.8750 0.7500 0.6250

The calculation puts the total energy at -4.38 eV per atom.